## Be2PPb (PBE)

Data for crystalline Be2PPb at its relaxed geometry.

Values from the calculation:
- crystal system = cubic
- SG = Fm-3m (225)
- formation energy (meV per atom) = 855
- energy relative to the lowest polymorph listed for this composition (meV per atom) = 709.3

Lattice parameters (Å, degrees): 4.5031 4.5031 4.5031 60.00 60.00 60.00
Element x y z (fractional)
1 Be 0.2500 0.2500 0.2500
2 Be 0.7500 0.7500 0.7500
3 P 0.0000 0.0000 0.0000
4 Pb 0.5000 0.5000 0.5000